Entry from Alexandria via LeMat-Bulk: a PBEsol-optimized structure of LaPPt (SCAN).

Cell and atoms, written as POSCAR:
```
LaPPt
1.0
4.183 0.000 0.000
-2.091 3.622 0.000
0.000 0.000 8.121
P La Pt
2 2 2
direct
0.667 0.333 0.750 P
0.333 0.667 0.250 P
0.000 0.000 0.500 La
0.000 0.000 0.000 La
0.667 0.333 0.250 Pt
0.333 0.667 0.750 Pt
```

Properties
Space group ... P6_3/mmc (194)
Magnetization ... 0.0 μB/cell
E_form ... -1.608 eV/atom